# 1
A plane-wave DFT calculation with PBE was carried out for KFe2Ni after structural relaxation.

Output
The excess energy over the best structure of this formula in the dataset comes out at 32.1 kJ per mole of atoms. For the density of states at the Fermi level, the calculation gives 4.48 states/eV per cell. As for the formation energy: 916 meV/atom. The value obtained for the total energy is -5.03 eV per atom.

Structure (POSCAR):
```
KFe2Ni
1.0
-3.944 2.070 3.670
-0.953 -2.979 4.851
3.244 3.240 -3.506
Fe K Ni
2 1 1
direct
0.002 0.002 0.000
0.799 0.299 0.500
0.496 0.496 0.000
0.203 0.703 0.500
```


# 2
A plane-wave DFT calculation with PBE was carried out for NaVBr5 after structural relaxation.

Output
The calculation puts the uncorrected formation energy at -6.36 eV/f.u. The excess energy over the best structure of this formula in the dataset comes out at 0.0 kJ per mole of atoms. For the density of states at the Fermi level, the calculation gives 5.97 states/eV per cell. The value obtained for the total energy is -3.59 eV per atom.

Structure (POSCAR):
```
NaVBr5
1.0
-6.283 5.679 2.244
-6.781 0.002 -1.887
-4.878 -0.628 5.034
Na V Br
1 1 5
direct
0.000 0.078 0.922
0.500 0.411 0.589
0.762 0.009 0.467
0.500 0.732 0.268
0.238 0.533 0.991
0.782 0.384 0.616
0.218 0.384 0.616
```


# 3
A plane-wave DFT calculation with PBE was carried out for HoErAlGe after structural relaxation.

Output
For the density of states at the Fermi level, the calculation gives 3.30 states/eV per cell. As for the formation energy: -688 meV/atom. The value obtained for the total energy is -5.06 eV per atom.

Structure (POSCAR):
```
HoErAlGe
1.0
4.330 0.000 0.000
0.000 3.995 0.000
-2.165 0.000 5.401
Ho Er Al Ge
1 1 1 1
direct
0.140 0.000 0.280
0.858 0.500 0.716
0.424 0.000 0.847
0.578 0.500 0.156
```


# 4
A plane-wave DFT calculation with PBE was carried out for Ge3PO after structural relaxation.

Output
The calculation puts the uncorrected formation energy at 4.78 eV/f.u. The excess energy over the best structure of this formula in the dataset comes out at 76.4 kJ per mole of atoms. For the density of states at the Fermi level, the calculation gives 4.46 states/eV per cell. The value obtained for the total energy is -3.89 eV per atom.

Structure (POSCAR):
```
Ge3PO
1.0
4.806 0.000 0.000
0.000 4.806 0.000
0.000 0.000 4.806
P Ge O
1 3 1
direct
0.000 0.000 0.000
0.000 0.500 0.000
0.000 0.000 0.500
0.500 0.000 0.000
0.500 0.500 0.500
```


# 5
A plane-wave DFT calculation with PBE was carried out for NbB3Mo after structural relaxation.

Output
The excess energy over the best structure of this formula in the dataset comes out at 162.4 kJ per mole of atoms. For the density of states at the Fermi level, the calculation gives 4.40 states/eV per cell. As for the formation energy: 1050 meV/atom. The value obtained for the total energy is -7.14 eV per atom.

Structure (POSCAR):
```
NbB3Mo
1.0
4.013 0.000 0.000
0.000 4.013 0.000
0.000 0.000 4.013
Mo B Nb
1 3 1
direct
0.000 0.000 0.000
0.000 0.500 0.000
0.000 0.000 0.500
0.500 0.000 0.000
0.500 0.500 0.500
```


# 6
A plane-wave DFT calculation with PBE was carried out for Sr2Tl4InPb2 after structural relaxation.

Output
For the density of states at the Fermi level, the calculation gives 6.31 states/eV per cell. As for the formation energy: -182 meV/atom. The value obtained for the total energy is -2.74 eV per atom.

Structure (POSCAR):
```
Sr2Tl4InPb2
1.0
7.610 -0.194 -0.279
-3.823 6.583 0.279
-3.823 -2.051 6.262
Sr Tl In Pb
2 4 1 2
direct
0.500 0.750 0.250
0.500 0.250 0.750
0.000 0.715 0.285
0.430 0.715 0.715
0.000 0.285 0.715
0.570 0.285 0.285
0.000 0.000 0.000
0.000 0.725 0.725
0.000 0.275 0.275
```


Number 1: magnetization 6.18 μB per cell. Number 2: magnetization 1.00 μB per cell. Number 3: magnetization 0.00 μB per cell. Number 4: magnetization 0.00 μB per cell. Number 5: magnetization 0.00 μB per cell. Number 6: magnetization 0.00 μB per cell.